# 1
AgSeOF2 | meta-GGA SCAN | PBEsol geometry

Cell: 4.404 4.404 3.751 Å, 90.00 90.00 90.00°
Element x y z (fractional)
Ag1 0.000 0.000 0.000
Se1 0.500 0.500 0.500
O1 0.500 0.500 0.000
F1 0.000 0.500 0.500
F2 0.500 0.000 0.500

Crystal system: tetragonal
Calculated volume: 14.5 Å³ per atom
VASP energy: -13.60 eV per atom
Formation energy without anion corrections: -651 meV per atom

# 2
MgAgRu2 | meta-GGA SCAN | PBEsol geometry

Cell: 5.083 5.083 5.083 Å, 137.21 137.21 62.12°
Element x y z (fractional)
Mg1 0.000 0.000 0.000
Ag1 0.500 0.500 0.000
Ru1 0.250 0.750 0.500
Ru2 0.750 0.250 0.500

Crystal system: tetragonal
Calculated volume: 15.0 Å³ per atom
Calculated formation energy: 33 kJ/mol of atoms
VASP energy: -26.16 eV per atom